# 1
Computed, not measured: a relaxed structure of Pr4GaBiN at the GGA-PBE level of DFT.

Computed properties:
raw total energy = -5.68 eV/atom
SG = Cmcm
D(E_F) = 8.8 states/eV/cell

Unit cell a=6.9910 b=7.0121 c=8.8988 alpha=90.00 beta=113.13 gamma=90.00
With the nearest neighbours (Å) after each atom.
Atoms (fractional coordinates):
1 Pr 0.0817 0.7500 0.1633  1 N 2.63
2 Pr 0.0000 0.5000 0.5000  2 N 2.48
3 Pr 0.5000 0.5000 0.5000  2 N 2.48
4 Pr 0.4073 0.7500 0.8147  1 N 2.70
5 Pr 0.0000 0.0000 0.5000  2 N 2.48
6 Pr 0.5000 0.0000 0.5000  2 N 2.48
7 Pr 0.9183 0.2500 0.8367  1 N 2.63
8 Pr 0.5927 0.2500 0.1853  1 N 2.70
9 Ga 0.8833 0.7500 0.7665  9 Pr 3.25-3.55
10 Ga 0.1167 0.2500 0.2335  9 Pr 3.25-3.55
11 Bi 0.6052 0.7500 0.2104  9 Pr 3.24-3.52
12 Bi 0.3948 0.2500 0.7896  9 Pr 3.24-3.52
13 N 0.7578 0.2500 0.5155  6 Pr 2.48-2.70
14 N 0.2422 0.7500 0.4845  6 Pr 2.48-2.70


# 2
Computed, not measured: a relaxed structure of PrPuZnCo at the GGA-PBE level of DFT.

Computed properties:
raw total energy = -6.85 eV/atom
SG = F-43m
D(E_F) = 8.0 states/eV/cell
formation energy = 0.581 kcal/mol of atoms

Unit cell a=4.9939 b=4.9939 c=4.9939 alpha=60.00 beta=60.00 gamma=60.00
With the nearest neighbours (Å) after each atom.
Atoms (fractional coordinates):
1 Zn 0.2500 0.2500 0.2500  4 Pr 3.06, 4 Pu 3.06
2 Pu 0.0000 0.0000 0.0000  4 Co 3.06, 4 Zn 3.06
3 Pr 0.5000 0.5000 0.5000  4 Zn 3.06, 4 Co 3.06
4 Co 0.7500 0.7500 0.7500  4 Pr 3.06, 4 Pu 3.06


# 3
Computed, not measured: a relaxed structure of NaBiTePOs at the GGA-PBE level of DFT.

Computed properties:
raw total energy = -5.01 eV/atom
SG = Cm
D(E_F) = 5.3 states/eV/cell
offset from the most stable computed form = 43 meV per atom

Unit cell a=9.5863 b=3.5517 c=7.8740 alpha=90.00 beta=110.61 gamma=90.00
With the nearest neighbours (Å) after each atom.
Atoms (fractional coordinates):
1 Te 0.0752 0.5000 0.5566  2 Os 2.73, 1 P 2.89
2 Te 0.0752 0.0000 0.0566  2 Os 2.73, 1 P 2.89
3 Na 0.3095 0.5000 0.9424  3 Te 3.08-3.23, 1 Bi 3.36
4 Na 0.3095 0.0000 0.4424  3 Te 3.08-3.23, 1 Bi 3.36
5 Bi 0.5857 0.0000 0.8496  1 P 2.68, 2 Os 2.92
6 Bi 0.5857 0.5000 0.3496  1 P 2.68, 2 Os 2.92
7 Os 0.8440 0.0000 0.4772  3 P 2.38
8 Os 0.8440 0.5000 0.9772  3 P 2.38
9 P 0.8169 0.0000 0.1644  3 Os 2.38
10 P 0.8169 0.5000 0.6644  3 Os 2.38


# 4
Computed, not measured: a relaxed structure of NaPm2Pt at the GGA-PBE level of DFT.

Computed properties:
raw total energy = -4.71 eV/atom
SG = R3m
D(E_F) = 3.3 states/eV/cell
formation energy = -11.345 kcal/mol of atoms
offset from the most stable computed form = 0 meV per atom

Unit cell a=4.2475 b=4.2475 c=9.3676 alpha=76.90 beta=76.90 gamma=60.00
With the nearest neighbours (Å) after each atom.
Atoms (fractional coordinates):
1 Pm 0.2788 0.2788 0.1635  3 Pt 2.86
2 Pm 0.0541 0.0541 0.8377  3 Pt 2.86
3 Na 0.5008 0.5008 0.4977  6 Pm 3.89-3.93, 6 Na 4.25
4 Pt 0.6663 0.6663 0.0011  6 Pm 2.86


# 5
Computed, not measured: a relaxed structure of CoAgRu at the GGA-PBE level of DFT.

Computed properties:
raw total energy = -6.04 eV/atom
SG = I4mm
D(E_F) = 3.7 states/eV/cell
formation energy = 8.584 kcal/mol of atoms
offset from the most stable computed form = 16 meV per atom

Unit cell a=6.1015 b=6.1015 c=6.1015 alpha=154.30 beta=154.30 gamma=36.66
With the nearest neighbours (Å) after each atom.
Atoms (fractional coordinates):
1 Ag 0.9947 0.9947 0.0000  4 Ag 2.71, 4 Co 2.80, 4 Ru 2.93
2 Ru 0.6862 0.6862 0.0000  4 Co 2.46, 4 Ru 2.71
3 Co 0.3192 0.3192 0.0000  4 Ru 2.46, 4 Co 2.71


# 6
Computed, not measured: a relaxed structure of LaPm2O at the GGA-PBE level of DFT.

Computed properties:
raw total energy = -6.12 eV/atom
SG = R-3m
D(E_F) = 4.6 states/eV/cell

Unit cell a=3.6589 b=3.6589 c=9.3833 alpha=78.76 beta=78.76 gamma=60.00
With the nearest neighbours (Å) after each atom.
Atoms (fractional coordinates):
1 La 0.5000 0.5000 0.5000  6 La 3.66, 6 Pm 3.81
2 O 0.0000 0.0000 0.0000  6 Pm 2.53
3 Pm 0.7176 0.7176 0.8471  3 O 2.53
4 Pm 0.2824 0.2824 0.1529  3 O 2.53


# 7
Computed, not measured: a relaxed structure of Ba6HgPd2Pt at the GGA-PBE level of DFT.

Computed properties:
raw total energy = -3.31 eV/atom
SG = P1
D(E_F) = 5.9 states/eV/cell
formation energy = -11.138 kcal/mol of atoms

Unit cell a=8.1234 b=8.1226 c=8.8964 alpha=62.84 beta=62.82 gamma=59.95
With the nearest neighbours (Å) after each atom.
Atoms (fractional coordinates):
1 Pd 0.9970 0.9970 0.0093  6 Ba 3.25-3.26
2 Pd 0.5064 0.5061 0.4815  6 Ba 3.25-3.27
3 Ba 0.9189 0.5835 0.2377  1 Pt 3.18, 2 Pd 3.25, 1 Hg 3.47
4 Ba 0.2599 0.9191 0.2380  1 Pt 3.18, 2 Pd 3.25, 1 Hg 3.48
5 Ba 0.3854 0.7348 0.7591  1 Pt 3.16, 2 Pd 3.26, 1 Hg 3.49
6 Ba 0.1207 0.3854 0.7588  1 Pt 3.16, 2 Pd 3.26-3.27, 1 Hg 3.49
7 Ba 0.7355 0.1204 0.7588  1 Pt 3.16, 2 Pd 3.26-3.27, 1 Hg 3.49
8 Ba 0.5830 0.2603 0.2378  1 Pt 3.18, 2 Pd 3.25, 1 Hg 3.48
9 Pt 0.3285 0.3282 0.0146  6 Ba 3.16-3.18
10 Hg 0.8264 0.8267 0.5196  6 Ba 3.47-3.49, 1 Pd 3.86


# 8
Computed, not measured: a relaxed structure of CsNaAg2Pd at the GGA-PBE level of DFT.

Computed properties:
raw total energy = -1.66 eV/atom
SG = P4/mmm
D(E_F) = 1.6 states/eV/cell
formation energy = 22.083 kcal/mol of atoms
offset from the most stable computed form = 853 meV per atom

Unit cell a=6.4978 b=5.3610 c=6.4978 alpha=90.00 beta=90.00 gamma=90.00
With the nearest neighbours (Å) after each atom.
Atoms (fractional coordinates):
1 Ag 0.5000 0.0000 0.0000  2 Cs 3.25
2 Ag 0.0000 0.0000 0.5000  2 Cs 3.25
3 Pd 0.0000 0.5000 0.0000  2 Cs 2.68
4 Na 0.5000 0.5000 0.5000  8 Ag 4.21, 4 Pd 4.59
5 Cs 0.0000 0.0000 0.0000  2 Pd 2.68


# 9
Computed, not measured: a relaxed structure of MgAu4 at the GGA-PBE level of DFT.

Computed properties:
raw total energy = -2.34 eV/atom
SG = Pm-3m
D(E_F) = 3.0 states/eV/cell
formation energy = 13.901 kcal/mol of atoms

Unit cell a=4.8577 b=4.8577 c=4.8577 alpha=90.00 beta=90.00 gamma=90.00
With the nearest neighbours (Å) after each atom.
Atoms (fractional coordinates):
1 Au 0.5000 0.5000 0.0000  2 Mg 2.43
2 Au 0.0000 0.0000 0.0000  12 Au 3.43
3 Au 0.5000 0.0000 0.5000  2 Mg 2.43
4 Au 0.0000 0.5000 0.5000  2 Mg 2.43
5 Mg 0.5000 0.5000 0.5000  6 Au 2.43


# 10
Computed, not measured: a relaxed structure of Ca2MnGa3Au4 at the GGA-PBE level of DFT.

Computed properties:
raw total energy = -4.00 eV/atom
SG = P-4m2
D(E_F) = 5.8 states/eV/cell
formation energy = -10.678 kcal/mol of atoms

Unit cell a=4.2470 b=4.2470 c=11.5573 alpha=90.00 beta=90.00 gamma=90.00
With the nearest neighbours (Å) after each atom.
Atoms (fractional coordinates):
1 Ga 0.5000 0.0000 0.8647  5 Au 2.54-2.64
2 Ga 0.0000 0.0000 0.5000  4 Au 2.70, 4 Mn 3.00
3 Ga 0.0000 0.5000 0.1353  5 Au 2.54-2.64
4 Mn 0.5000 0.5000 0.5000  4 Au 2.70, 4 Ga 3.00
5 Au 0.0000 0.0000 0.0000  4 Ga 2.64
6 Au 0.5000 0.0000 0.6447  3 Ga 2.54-2.70, 2 Mn 2.70
7 Au 0.5000 0.5000 0.0000  4 Ga 2.64
8 Au 0.0000 0.5000 0.3553  3 Ga 2.54-2.70, 2 Mn 2.70
9 Ca 0.5000 0.0000 0.2439  6 Ga 3.25-3.64, 8 Au 3.27-3.53, 2 Mn 3.64
10 Ca 0.0000 0.5000 0.7561  6 Ga 3.25-3.64, 8 Au 3.27-3.53, 2 Mn 3.64


# 11
Computed, not measured: a relaxed structure of ErMgSn2 at the GGA-PBE level of DFT.

Computed properties:
raw total energy = -3.84 eV/atom
SG = R-3m
D(E_F) = 2.6 states/eV/cell
formation energy = -6.888 kcal/mol of atoms

Unit cell a=3.4897 b=3.4897 c=9.9166 alpha=79.87 beta=79.87 gamma=60.00
With the nearest neighbours (Å) after each atom.
Atoms (fractional coordinates):
1 Er 0.5000 0.5000 0.5000  6 Sn 3.24, 6 Er 3.49
2 Sn 0.2536 0.2536 0.2392  3 Mg 3.07, 3 Er 3.24
3 Sn 0.7464 0.7464 0.7608  3 Mg 3.07, 3 Er 3.24
4 Mg 0.0000 0.0000 0.0000  6 Sn 3.07


# 12
Computed, not measured: a relaxed structure of KCuSi at the GGA-PBE level of DFT.

Computed properties:
raw total energy = -3.46 eV/atom
SG = P-1
D(E_F) = 2.3 states/eV/cell
offset from the most stable computed form = 82 meV per atom

Unit cell a=4.5323 b=6.4625 c=6.3330 alpha=76.38 beta=93.10 gamma=77.66
With the nearest neighbours (Å) after each atom.
Atoms (fractional coordinates):
1 Si 0.0721 0.1249 0.3485  3 Cu 2.25-2.46, 1 Si 2.42
2 Si 0.9279 0.8751 0.6515  3 Cu 2.25-2.46, 1 Si 2.42
3 K 0.3052 0.3181 0.8148  4 Cu 3.36-3.57, 3 Si 3.52-3.65
4 K 0.6948 0.6819 0.1852  4 Cu 3.36-3.57, 3 Si 3.52-3.65
5 Cu 0.4285 0.8567 0.6424  3 Si 2.25-2.46, 1 Cu 2.48
6 Cu 0.5715 0.1433 0.3576  3 Si 2.25-2.46, 1 Cu 2.48


- What is the raw total energy in the second record?
  -6.85 eV/atom


- Number 2 is which compound?
  PrPuZnCo